The following is a DFT calculation (PBE) of an optimized crystal structure of CsKGeCl6.

a b c (Å): 7.484 7.484 7.001
angles (deg): 90.00 90.00 120.00
Fractional coordinates of all 9 atoms:
Cs 0.000 0.000 0.000
K 0.333 0.667 0.500
Ge 0.667 0.333 0.500
Cl 0.413 0.078 0.694
Cl 0.413 0.335 0.306
Cl 0.665 0.078 0.306
Cl 0.665 0.587 0.694
Cl 0.922 0.335 0.694
Cl 0.922 0.587 0.306

Calculated values
spin magnetization = 0.000 μB per formula unit
formation energy without anion corrections = -11.9 eV per formula unit
density of states at the Fermi level = 0.0 states/eV/f.u.
space-group type = P312 (149)